! Tm3Pt5, relaxed, DFT PBE-GGA; values from VASP
&SYSTEM
  ibrav = 0, nat = 16, ntyp = 2
/
ATOMIC_SPECIES
Tm 168.93 Tm.upf
Pt 195.08 Pt.upf
CELL_PARAMETERS angstrom
4.5518 -3.5326 0.0000
4.5518 3.5326 0.0000
0.0000 0.0000 9.5667
ATOMIC_POSITIONS angstrom
Tm 4.5518 2.7570 7.1750
Tm 2.6879 0.0000 0.0000
Tm 2.6879 0.0000 4.7833
Tm 6.4157 0.0000 0.0000
Tm 6.4157 0.0000 4.7833
Tm 4.5518 -2.7570 2.3917
Pt 2.0741 1.5591 7.1750
Pt 4.5518 2.2025 0.4269
Pt 4.5518 2.2025 4.3564
Pt 2.0741 -1.5591 2.3917
Pt 4.5518 0.1001 2.3917
Pt 4.5518 -0.1001 7.1750
Pt 7.0294 1.5591 7.1750
Pt 4.5518 -2.2025 5.2103
Pt 4.5518 -2.2025 9.1397
Pt 7.0294 -1.5591 2.3917
! D(E_F): 0.306 states/eV/atom
! Final energy: -6.684 eV/atom
! ΔE_f: -1.232 eV/atom